Compound: BeIn2Se
Source: Alexandria
Functional: GGA-PBE
Structure: optimized geometry

Lattice parameters (Å, degrees): 3.4793 3.4793 7.0602 90.00 90.00 90.00
With the nearest neighbours (Å) after each atom.
Sites, in units of the cell vectors:
Be  0.0000  0.0000  0.0000  8 In 2.96
In  0.5000  0.5000  0.2339  4 Be 2.96, 4 Se 3.10, 1 In 3.30
In  0.5000  0.5000  0.7661  4 Be 2.96, 4 Se 3.10, 1 In 3.30
Se  0.0000  0.0000  0.5000  8 In 3.10

Results
- electronic total energy (eV/atom) = -2.8637

---

Compound: BeInSe2
Source: Alexandria
Functional: GGA-PBE
Structure: optimized geometry

Lattice parameters (Å, degrees): 4.8065 4.8065 3.4745 90.00 90.00 90.00
With the nearest neighbours (Å) after each atom.
Sites, in units of the cell vectors:
Be  0.0000  0.0000  0.0000  8 Se 2.97
In  0.5000  0.5000  0.0000  8 Se 2.97
Se  0.0000  0.5000  0.5000  4 In 2.97, 4 Be 2.97
Se  0.5000  0.0000  0.5000  4 In 2.97, 4 Be 2.97

Results
- electronic total energy (eV/atom) = -3.0112

---

Compound: BeIn2Se
Source: Alexandria
Functional: GGA-PBE
Structure: optimized geometry

Lattice parameters (Å, degrees): 3.6833 4.4541 5.4922 90.00 90.00 90.00
With the nearest neighbours (Å) after each atom.
Sites, in units of the cell vectors:
Be  0.0000  0.0000  0.0000  4 In 2.89
In  0.5000  0.0000  0.5000  4 Se 2.89
In  0.5000  0.5000  0.0000  4 Be 2.89
Se  0.0000  0.5000  0.5000  4 In 2.89

Results
- electronic total energy (eV/atom) = -2.8150

---

Compound: BeInSe2
Source: Alexandria
Functional: GGA-PBE
Structure: optimized geometry

Lattice parameters (Å, degrees): 3.7152 3.7152 15.0376 90.00 90.00 90.00
With the nearest neighbours (Å) after each atom.
Sites, in units of the cell vectors:
Be  0.0000  0.0000  0.0000  4 Se 2.63
Be  0.5000  0.5000  0.5000  4 Se 2.63
In  0.0000  0.5000  0.7500  4 Se 2.63
In  0.5000  0.0000  0.2500  4 Se 2.63
Se  0.0000  0.0000  0.5000  4 Be 2.63
Se  0.0000  0.5000  0.2500  4 In 2.63
Se  0.5000  0.0000  0.7500  4 In 2.63
Se  0.5000  0.5000  0.0000  4 Be 2.63

Results
- electronic total energy (eV/atom) = -3.2233

---

Number 1: magnetization 0.0 μB/cell. Number 2: magnetization 0.0 μB/cell. Number 3: magnetization 0.0 μB/cell. Number 4: magnetization 0.0 μB/cell.